Arrangement i

A relaxed Er2Tm7Sc2 crystal. Source: Alexandria, functional GGA-PBE.

Summary:
**Total magnetic moment**: 0.00 μB per cell
**D(E_F)**: 1.82 states/eV per atom

abc: 8.868 9.149 8.274
angles: 90.00 101.90 90.00
Space group C2/m (No. 12)
One atom of each set of equivalent atoms:
Er  0.000  0.180  0.000
Tm  0.000  0.500  0.500
Tm  0.160  0.500  0.913
Tm  0.227  0.186  0.699
Sc  0.103  0.000  0.353

=====

Arrangement ii

A relaxed Er2Tm7Sc2 crystal. Source: Alexandria, functional GGA-PBE.

Summary:
**Total magnetic moment**: 0.01 μB per cell
**D(E_F)**: 1.53 states/eV per atom

abc: 6.540 6.594 8.786
angles: 86.47 74.06 64.29
Space group P-1 (No. 2)
One atom of each set of equivalent atoms:
Er  0.004  0.245  0.046
Tm  0.000  0.000  0.500
Tm  0.144  0.518  0.301
Tm  0.379  0.431  0.641
Tm  0.389  0.946  0.704
Sc  0.460  0.757  0.054

=====

What should be chosen as the least stable of them? Choose arrangement ii.

=====

Arrangement i

A relaxed Er2Tm3Sc crystal. Source: Alexandria, functional GGA-PBE.

Summary:
**Total magnetic moment**: 0.00 μB per cell
**D(E_F)**: 1.50 states/eV per atom

abc: 16.915 6.920 5.988
angles: 90.00 90.02 90.00
Space group C2/c (No. 15)
One atom of each set of equivalent atoms:
Er  0.165  0.126  0.415
Tm  0.000  0.128  0.750
Tm  0.164  0.376  0.919
Sc  0.000  0.377  0.250

=====

Arrangement ii

A relaxed Er2Tm3Sc crystal. Source: Alexandria, functional GGA-PBE.

Summary:
**Total magnetic moment**: 0.23 μB per cell
**D(E_F)**: 1.76 states/eV per atom

abc: 17.285 3.399 13.788
angles: 90.00 117.61 90.00
Space group C2/m (No. 12)
One atom of each set of equivalent atoms:
Er  0.156  0.000  0.469
Er  0.179  0.500  0.880
Tm  0.039  0.500  0.216
Tm  0.099  0.000  0.026
Tm  0.242  0.000  0.294
Sc  0.062  0.000  0.641

=====

What should be chosen as the least stable of them? Choose arrangement ii.

=====

Arrangement i

A relaxed Er2TmSc3 crystal. Source: Alexandria, functional GGA-PBE.

Summary:
**Total magnetic moment**: 1.56 μB per cell
**D(E_F)**: 2.13 states/eV per atom

abc: 6.2695 6.2695 10.1916
angles: 90.00 90.00 120.00
Space group P-3m1 (No. 164)
One atom of each set of equivalent atoms:
Er  0.0000  0.0000  0.0000
Er  0.0000  0.0000  0.5000
Er  0.3333  0.6667  0.0633
Tm  0.3333  0.6667  0.4372
Sc  0.1714  0.3428  0.7496

=====

Arrangement ii

A relaxed Er2TmSc3 crystal. Source: Alexandria, functional GGA-PBE.

Summary:
**Total magnetic moment**: 0.00 μB per cell
**D(E_F)**: 1.62 states/eV per atom

abc: 5.917 3.415 16.408
angles: 90.00 96.92 90.00
Space group P2_1/m (No. 11)
One atom of each set of equivalent atoms:
Er  0.028  0.250  0.334
Er  0.250  0.250  0.000
Tm  0.472  0.250  0.666
Sc  0.140  0.750  0.168
Sc  0.251  0.750  0.500
Sc  0.361  0.750  0.832

=====

What should be chosen as the least stable of them? Choose arrangement i.

=====

Arrangement i

A relaxed Er2Tm5Sc2 crystal. Source: Alexandria, functional GGA-PBE.

Summary:
**Total magnetic moment**: 0.00 μB per cell
**D(E_F)**: 1.68 states/eV per atom

abc: 17.318 3.408 9.275
angles: 90.00 104.59 90.00
Space group C2/m (No. 12)
One atom of each set of equivalent atoms:
Er  0.148  0.000  0.029
Tm  0.000  0.000  0.500
Tm  0.158  0.500  0.714
Tm  0.169  0.000  0.400
Sc  0.012  0.500  0.178

=====

Arrangement ii

A relaxed Er2Tm5Sc2 crystal. Source: Alexandria, functional GGA-PBE.

Summary:
**Total magnetic moment**: 0.03 μB per cell
**D(E_F)**: 1.55 states/eV per atom

abc: 19.223 8.162 6.817
angles: 90.00 90.00 90.00
Space group Ima2 (No. 46)
One atom of each set of equivalent atoms:
Er  0.000  0.000  0.000
Er  0.250  0.054  0.027
Tm  0.110  0.231  0.278
Tm  0.166  0.750  0.279
Tm  0.250  0.047  0.530
Sc  0.043  0.629  0.027

=====

What should be chosen as the least stable of them? Choose arrangement ii.

=====

Arrangement i

A relaxed Er6Tm12Sc crystal. Source: Alexandria, functional GGA-PBE.

Summary:
**Total magnetic moment**: 0.00 μB per cell
**D(E_F)**: 2.11 states/eV per atom

abc: 12.0456 12.0456 14.0092
angles: 90.00 90.00 120.00
Space group R-3 (No. 148, hexagonal axes)
One atom of each set of equivalent atoms:
Er  0.0294  0.4407  0.2109
Tm  0.0459  0.1820  0.3084
Tm  0.0692  0.8718  0.9058
Sc  0.0000  0.0000  0.5000

=====

Arrangement ii

A relaxed Er6Tm12Sc crystal. Source: Alexandria, functional GGA-PBE.

Summary:
**Total magnetic moment**: 0.05 μB per cell
**D(E_F)**: 1.75 states/eV per atom

abc: 12.8759 12.8759 12.4116
angles: 90.00 90.00 120.00
Space group R-3m (No. 166, hexagonal axes)
One atom of each set of equivalent atoms:
Er  0.0431  0.5215  0.1191
Tm  0.0000  0.2570  0.0000
Tm  0.0902  0.1804  0.7635
Sc  0.0000  0.0000  0.5000

=====

What should be chosen as the least stable of them? Choose arrangement ii.

=====

Arrangement i

A relaxed Er12Tm6Sc crystal. Source: Alexandria, functional GGA-PBE.

Summary:
**Total magnetic moment**: 0.00 μB per cell
**D(E_F)**: 1.76 states/eV per atom

abc: 12.8951 12.8951 12.4417
angles: 90.00 90.00 120.00
Space group R-3m (No. 166, hexagonal axes)
One atom of each set of equivalent atoms:
Er  0.0000  0.2573  0.0000
Er  0.0902  0.1804  0.7635
Tm  0.0438  0.5219  0.1192
Sc  0.0000  0.0000  0.5000

=====

Arrangement ii

A relaxed Er12Tm6Sc crystal. Source: Alexandria, functional GGA-PBE.

Summary:
**Total magnetic moment**: 0.00 μB per cell
**D(E_F)**: 2.02 states/eV per atom

abc: 11.9796 11.9796 14.2133
angles: 90.00 90.00 120.00
Space group R-3 (No. 148, hexagonal axes)
One atom of each set of equivalent atoms:
Er  0.0310  0.8506  0.3111
Er  0.0658  0.1991  0.9080
Tm  0.0255  0.5887  0.2045
Sc  0.0000  0.0000  0.5000

=====

What should be chosen as the least stable of them? Choose arrangement i.

=====

Arrangement i

A relaxed Er7Tm3Sc2 crystal. Source: Alexandria, functional GGA-PBE.

Summary:
**Total magnetic moment**: 0.00 μB per cell
**D(E_F)**: 1.68 states/eV per atom

abc: 6.3617 6.3617 32.1288
angles: 90.00 90.00 120.00
Space group R-3m (No. 166, hexagonal axes)
One atom of each set of equivalent atoms:
Er  0.0000  0.0000  0.0000
Er  0.0028  0.5014  0.4171
Tm  0.0000  0.0000  0.3487
Tm  0.0000  0.0000  0.5000
Sc  0.0000  0.0000  0.1667

=====

Arrangement ii

A relaxed Er7Tm3Sc2 crystal. Source: Alexandria, functional GGA-PBE.

Summary:
**Total magnetic moment**: 0.00 μB per cell
**D(E_F)**: 1.55 states/eV per atom

abc: 5.558 36.597 3.509
angles: 90.00 90.00 90.00
Space group Cmmm (No. 65)
One atom of each set of equivalent atoms:
Er  0.000  0.000  0.000
Er  0.000  0.073  0.500
Er  0.000  0.230  0.000
Er  0.000  0.405  0.000
Tm  0.000  0.316  0.500
Tm  0.000  0.500  0.500
Sc  0.000  0.148  0.000

=====

What should be chosen as the least stable of them? Choose arrangement i.

=====

Arrangement i

A relaxed Er2Tm2Sc3 crystal. Source: Alexandria, functional GGA-PBE.

Summary:
**Total magnetic moment**: 0.00 μB per cell
**D(E_F)**: 1.50 states/eV per atom

abc: 9.247 9.247 9.247
angles: 90.00 90.00 90.00
Space group I2_13 (No. 199)
One atom of each set of equivalent atoms:
Er  0.208  0.292  0.708
Tm  0.091  0.091  0.091
Sc  0.000  0.250  0.445

=====

Arrangement ii

A relaxed Er2Tm2Sc3 crystal. Source: Alexandria, functional GGA-PBE.

Summary:
**Total magnetic moment**: 0.00 μB per cell
**D(E_F)**: 1.61 states/eV per atom

abc: 14.794 3.400 8.294
angles: 90.00 111.75 90.00
Space group C2/m (No. 12)
One atom of each set of equivalent atoms:
Er  0.143  0.000  0.423
Tm  0.075  0.500  0.722
Sc  0.000  0.000  0.000
Sc  0.212  0.500  0.137

=====

What should be chosen as the least stable of them? Choose arrangement i.

=====

Arrangement i

A relaxed ErTm2Sc5 crystal. Source: Alexandria, functional GGA-PBE.

Summary:
**Total magnetic moment**: 0.09 μB per cell
**D(E_F)**: 1.96 states/eV per atom

abc: 6.819 10.606 11.804
angles: 90.00 90.00 90.00
Space group Fmm2 (No. 42)
One atom of each set of equivalent atoms:
Er  0.000  0.000  0.000
Tm  0.000  0.246  0.670
Sc  0.000  0.000  0.499
Sc  0.248  0.000  0.254
Sc  0.250  0.250  0.417

=====

Arrangement ii

A relaxed ErTm2Sc5 crystal. Source: Alexandria, functional GGA-PBE.

Summary:
**Total magnetic moment**: 0.00 μB per cell
**D(E_F)**: 1.99 states/eV per atom

abc: 6.726 6.726 9.385
angles: 90.00 90.00 90.00
Space group I4/mmm (No. 139)
One atom of each set of equivalent atoms:
Er  0.000  0.000  0.000
Tm  0.000  0.500  0.000
Sc  0.000  0.000  0.500
Sc  0.250  0.250  0.250

=====

What should be chosen as the least stable of them? Choose arrangement ii.

=====

Arrangement i

A relaxed Er2TmSc7 crystal. Source: Alexandria, functional GGA-PBE.

Summary:
**Total magnetic moment**: 0.03 μB per cell
**D(E_F)**: 1.44 states/eV per atom

abc: 6.003 26.979 3.313
angles: 90.00 90.00 90.00
Space group Cmmm (No. 65)
One atom of each set of equivalent atoms:
Er  0.000  0.211  0.000
Tm  0.000  0.500  0.500
Sc  0.000  0.000  0.000
Sc  0.000  0.318  0.500
Sc  0.247  0.402  0.000

=====

Arrangement ii

A relaxed Er2TmSc7 crystal. Source: Alexandria, functional GGA-PBE.

Summary:
**Total magnetic moment**: 0.00 μB per cell
**D(E_F)**: 1.75 states/eV per atom

abc: 3.339 8.824 9.391
angles: 74.51 89.99 79.16
Space group P-1 (No. 2)
One atom of each set of equivalent atoms:
Er  0.199  0.101  0.105
Tm  0.000  0.500  0.000
Sc  0.000  0.500  0.500
Sc  0.198  0.103  0.594
Sc  0.401  0.698  0.692
Sc  0.401  0.699  0.208

=====

What should be chosen as the least stable of them? Choose arrangement i.